Below is crystalline SrLaMg2Tc at its relaxed geometry, with properties calculated at the GGA-PBE level.

Unit cell a=5.987 b=5.987 c=4.785 alpha=90.00 beta=90.00 gamma=90.00
Fractional coordinates of all 5 atoms:
Sr1 0.000 0.000 0.000
La1 0.500 0.500 0.500
Mg1 0.000 0.500 0.500
Mg2 0.500 0.000 0.500
Tc1 0.500 0.500 0.000

Its total energy is -3.2533 eV per atom. For the volume, the calculation gives 171.5 Å³ per cell. Its density of states at the Fermi level is 5.83 states/eV/cell.